Entry 1:
Computed, not measured: Sr5ThHg6 after structural relaxation at the GGA-PBE level of DFT.

Structure (POSCAR):
```
Sr5ThHg6
1.0
2.788 -8.393 0.000
2.788 8.393 0.000
0.000 0.000 8.000
Sr Th Hg
5 1 6
direct
0.000 0.000 0.000 Sr
0.331 0.669 0.500 Sr
0.332 0.668 0.000 Sr
0.668 0.332 0.000 Sr
0.669 0.331 0.500 Sr
0.000 0.000 0.500 Th
0.160 0.840 0.258 Hg
0.160 0.840 0.742 Hg
0.500 0.500 0.269 Hg
0.500 0.500 0.731 Hg
0.840 0.160 0.258 Hg
0.840 0.160 0.742 Hg
```

- space-group type = Cmmm

---

Entry 2:
Computed, not measured: SrThHg2 after structural relaxation at the GGA-PBE level of DFT.

Structure (POSCAR):
```
SrThHg2
1.0
3.851 0.000 0.000
0.000 3.851 0.000
0.000 0.000 8.077
Sr Th Hg
1 1 2
direct
0.000 0.000 0.000 Sr
0.000 0.000 0.500 Th
0.500 0.500 0.267 Hg
0.500 0.500 0.733 Hg
```

- space-group type = P4/mmm

---

Entry 3:
Computed, not measured: SrTiHg3 after structural relaxation at the GGA-PBE level of DFT.

Structure (POSCAR):
```
SrTiHg3
1.0
5.354 0.000 0.000
0.000 5.354 0.000
0.000 0.000 5.354
Sr Ti Hg
1 1 3
direct
0.000 0.000 0.000 Sr
0.500 0.500 0.500 Ti
0.000 0.500 0.500 Hg
0.500 0.000 0.500 Hg
0.500 0.500 0.000 Hg
```

- space-group type = Pm-3m
- relative energy among the computed polymorphs (eV/atom) = 0.000

---

Entry 4:
Computed, not measured: SrTi3Hg after structural relaxation at the GGA-PBE level of DFT.

Structure (POSCAR):
```
SrTi3Hg
1.0
4.800 0.000 0.000
0.000 4.800 0.000
0.000 0.000 4.800
Sr Ti Hg
1 3 1
direct
0.000 0.000 0.000 Sr
0.000 0.000 0.500 Ti
0.000 0.500 0.000 Ti
0.500 0.000 0.000 Ti
0.500 0.500 0.500 Hg
```

- space-group type = Pm-3m
- relative energy among the computed polymorphs (eV/atom) = 0.891

---

Entry 5:
Computed, not measured: SrTiHg2 after structural relaxation at the GGA-PBE level of DFT.

Structure (POSCAR):
```
SrTiHg2
1.0
-2.628 2.628 9.395
2.628 -2.628 9.395
2.628 2.628 -9.395
Sr Ti Hg
2 2 4
direct
0.000 0.000 0.000 Sr
0.750 0.250 0.500 Sr
0.250 0.750 0.500 Ti
0.500 0.500 0.000 Ti
0.230 0.625 0.105 Hg
0.375 0.480 0.605 Hg
0.520 0.125 0.895 Hg
0.875 0.770 0.395 Hg
```

- space-group type = I-42d

---

Entry 6:
Computed, not measured: Sr2TiHg after structural relaxation at the GGA-PBE level of DFT.

Structure (POSCAR):
```
Sr2TiHg
1.0
-4.510 4.510 3.389
4.510 -4.510 3.389
4.510 4.510 -3.389
Sr Ti Hg
4 2 2
direct
0.099 0.625 0.974 Sr
0.375 0.349 0.474 Sr
0.651 0.125 0.026 Sr
0.875 0.901 0.526 Sr
0.250 0.750 0.500 Ti
0.500 0.500 0.000 Ti
0.000 0.000 0.000 Hg
0.750 0.250 0.500 Hg
```

- space-group type = I-42d

---

One value per record, in order, for Fermi-level density of states: 8.7, 2.5, 4.1, 4.6, 2.8, 7.0 states/eV/f.u..
One value per record, in order, for energy relative to the elements: -0.46, -0.35, 0.01, 1.80, 0.24, 0.45 eV per atom.
One value per record, in order, for total magnetic moment: 0.00, 0.00, 2.23, 2.04, 4.40, 6.16 μB/cell.